# 1
VASP calculation (GGA-PBE) on CaCe2Nd3As6 after structural relaxation.

The space group is C2/m (No. 12) and the conventional cell measures 18.4926, 4.2558 and 8.5131 Å, with angles of 90.00, 103.44 and 90.00 degrees. Symmetry generates all atoms from Ca at (0.0000, 0.0000, 0.0000), Ce at (0.1649, 0.5000, 0.3299), Nd at (0.0000, 0.0000, 0.5000), Nd at (0.1645, 0.5000, 0.8347), As at (0.0029, 0.5000, 0.2537), As at (0.1680, 0.0000, 0.0898) and As at (0.1690, 0.0000, 0.5792).

The density is 6.13 g/cm³. The total DFT energy (no corrections) comes out at -6.093 eV per atom.

---

# 2
VASP calculation (GGA-PBE) on Nd2Y3ScS6 after structural relaxation.

The space group is C2/m (No. 12) and the conventional cell measures 17.1263, 3.9251 and 7.9243 Å, with angles of 90.00, 103.23 and 90.00 degrees. Symmetry generates all atoms from Nd at (0.1667, 0.0000, 0.3340), Y at (0.0000, 0.5000, 0.5000), Y at (0.1699, 0.0000, 0.8343), Sc at (0.0000, 0.5000, 0.0000), S at (0.0043, 0.0000, 0.7633), S at (0.1608, 0.5000, 0.0710) and S at (0.1630, 0.5000, 0.5914).

The density is 5.08 g/cm³. The uncorrected formation energy is -1.964 eV/atom.

---

# 3
VASP calculation (GGA-PBE) on Pu2In8Tc after structural relaxation.

The space group is P4/mmm (No. 123) and the conventional cell measures 4.6952, 4.6952 and 12.1636 Å, with angles of 90.00, 90.00 and 90.00 degrees. Symmetry generates all atoms from Pu at (0.0000, 0.0000, 0.1919), In at (0.0000, 0.5000, 0.0000), In at (0.0000, 0.5000, 0.3761), In at (0.5000, 0.5000, 0.1885) and Tc at (0.0000, 0.0000, 0.5000).

The density is 9.32 g/cm³. The total DFT energy (no corrections) comes out at -5.659 eV per atom.

---

# 4
VASP calculation (GGA-PBE) on Nd8SbSe6 after structural relaxation.

The space group is P-3 (No. 147) and the conventional cell measures 10.8051, 10.8051 and 4.2787 Å, with angles of 90.00, 90.00 and 120.00 degrees. Symmetry generates all atoms from Nd at (0.0338, 0.7111, 0.2561), Nd at (0.3333, 0.6667, 0.7477), Sb at (0.0000, 0.0000, 0.5000) and Se at (0.1311, 0.4821, 0.2481).

The density is 6.72 g/cm³. The uncorrected formation energy is -1.428 eV/atom.

---

- Which of these has the highest density?
  Pu2In8Tc

---

Copy entry 2 word for word.
VASP calculation (GGA-PBE) on Nd2Y3ScS6 after structural relaxation.

The space group is C2/m (No. 12) and the conventional cell measures 17.1263, 3.9251 and 7.9243 Å, with angles of 90.00, 103.23 and 90.00 degrees. Symmetry generates all atoms from Nd at (0.1667, 0.0000, 0.3340), Y at (0.0000, 0.5000, 0.5000), Y at (0.1699, 0.0000, 0.8343), Sc at (0.0000, 0.5000, 0.0000), S at (0.0043, 0.0000, 0.7633), S at (0.1608, 0.5000, 0.0710) and S at (0.1630, 0.5000, 0.5914).

The density is 5.08 g/cm³. The uncorrected formation energy is -1.964 eV/atom.